(1)
# GGA-PBE Ga2BiIr2, relaxed
# Energy in eV for the cell shown: -55.6
# E above lowest polymorph in meV/atom: 130.0
# E_form in meV per atom: -31.3
# DOS(E_F) in states/eV per cell: 5.5
data_Ga2BiIr2
_symmetry_space_group_name_H-M 'I 4/m m m'
_symmetry_Int_Tables_number 139
_symmetry_space_group_name_Hall '-I 4 2'
_cell_length_a 4.3392
_cell_length_b 4.3392
_cell_length_c 9.9670
_cell_angle_alpha 90.00
_cell_angle_beta 90.00
_cell_angle_gamma 90.00
loop_
_atom_site_label
_atom_site_type_symbol
_atom_site_fract_x
_atom_site_fract_y
_atom_site_fract_z
Ga1 Ga 0.0000 0.0000 0.1265
Bi1 Bi 0.0000 0.0000 0.5000
Ir1 Ir 0.0000 0.5000 0.2500

(2)
# GGA-PBE Ga2BiIr2, relaxed
# Energy in eV for the cell shown: -56.0
# E above lowest polymorph in meV/atom: 94.1
# E_form in meV per atom: -67.2
# DOS(E_F) in states/eV per cell: 3.4
data_Ga2BiIr2
_symmetry_space_group_name_H-M 'P 4/m b m'
_symmetry_Int_Tables_number 127
_symmetry_space_group_name_Hall '-P 4 2ab'
_cell_length_a 7.6858
_cell_length_b 7.6858
_cell_length_c 2.9434
_cell_angle_alpha 90.00
_cell_angle_beta 90.00
_cell_angle_gamma 90.00
loop_
_atom_site_label
_atom_site_type_symbol
_atom_site_fract_x
_atom_site_fract_y
_atom_site_fract_z
Ga1 Ga 0.1320 0.3680 0.0000
Bi1 Bi 0.0000 0.0000 0.0000
Ir1 Ir 0.1581 0.6581 0.5000

(3)
# GGA-PBE La2GaBiIr, relaxed
# Energy in eV for the cell shown: -29.5
# E_form in meV per atom: -774.2
# DOS(E_F) in states/eV per cell: 2.8
data_La2GaBiIr
_symmetry_space_group_name_H-M 'P 4/m m m'
_symmetry_Int_Tables_number 123
_symmetry_space_group_name_Hall '-P 4 2'
_cell_length_a 5.5889
_cell_length_b 5.5889
_cell_length_c 4.8212
_cell_angle_alpha 90.00
_cell_angle_beta 90.00
_cell_angle_gamma 90.00
loop_
_atom_site_label
_atom_site_type_symbol
_atom_site_fract_x
_atom_site_fract_y
_atom_site_fract_z
La1 La 0.0000 0.5000 0.0000
Ga1 Ga 0.0000 0.0000 0.5000
Bi1 Bi 0.5000 0.5000 0.5000
Ir1 Ir 0.0000 0.0000 0.0000

(4)
# GGA-PBE LiGaBiIr, relaxed
# Energy in eV for the cell shown: -73.0
# E_form in meV per atom: -142.3
# DOS(E_F) in states/eV per cell: 7.5
data_LiGaBiIr
_symmetry_space_group_name_H-M 'F -4 3 m'
_symmetry_Int_Tables_number 216
_symmetry_space_group_name_Hall 'F -4 2 3'
_cell_length_a 6.5475
_cell_length_b 6.5475
_cell_length_c 6.5475
_cell_angle_alpha 90.00
_cell_angle_beta 90.00
_cell_angle_gamma 90.00
loop_
_atom_site_label
_atom_site_type_symbol
_atom_site_fract_x
_atom_site_fract_y
_atom_site_fract_z
Li1 Li 0.0000 0.0000 0.0000
Ga1 Ga 0.2500 0.2500 0.2500
Bi1 Bi 0.2500 0.2500 0.7500
Ir1 Ir 0.0000 0.0000 0.5000